Entry from Alexandria via LeMat-Bulk: a geometry-optimized Al3Ru structure (PBE).

Calculated values
**Magnetization**: 0.0 μB per formula unit
**Calculated volume**: 14.57 A^3/atom
**E_form**: -393 meV/atom

Unit cell a=2.970 b=4.307 c=4.554 alpha=90.00 beta=90.00 gamma=90.00
Element x y z (fractional)
Al (0.000, 0.000, 0.000)
Al (0.000, 0.500, 0.356)
Al (0.500, 0.000, 0.510)
Ru (0.500, 0.500, 0.843)